Entry 1:
# SnPNO4 (PBE, optimized geometry)
# mass density: 3.77 g/cm3
data_SnPNO4
_cell_length_a 5.1791
_cell_length_b 8.9149
_cell_length_c 8.9778
_cell_angle_alpha 90.00
_cell_angle_beta 104.41
_cell_angle_gamma 90.00
_symmetry_space_group_name_H-M 'P 1 21/c 1'
_symmetry_Int_Tables_number 14
_symmetry_space_group_name_Hall '-P 2ybc'
loop_
_atom_site_label
_atom_site_fract_x
_atom_site_fract_y
_atom_site_fract_z
Sn1 0.2031 0.2421 0.0046
P1 0.2227 0.5718 0.3085
N1 0.4652 0.5525 0.9635
O1 0.0631 0.6119 0.1455
O2 0.1198 0.6458 0.4390
O3 0.2068 0.1039 0.8184
O4 0.4802 0.1157 0.1707

***

Entry 2:
# PRuCl (PBE, optimized geometry)
# E above lowest polymorph: 0.00 kcal/mol of atoms
# mass density: 4.27 g/cm3
data_PRuCl
_cell_length_a 3.5715
_cell_length_b 3.5715
_cell_length_c 5.8965
_cell_angle_alpha 90.00
_cell_angle_beta 90.00
_cell_angle_gamma 120.00
_symmetry_space_group_name_H-M 'P 3 m 1'
_symmetry_Int_Tables_number 156
_symmetry_space_group_name_Hall 'P 3 -2"'
loop_
_atom_site_label
_atom_site_fract_x
_atom_site_fract_y
_atom_site_fract_z
P1 0.0000 0.0000 0.0000
Ru1 0.3333 0.6667 0.1403
Cl1 0.6667 0.3333 0.4253

***

Entry 3:
# Ba2SiAu (PBE, optimized geometry)
# E above lowest polymorph: 0.00 kcal/mol of atoms
# mass density: 5.78 g/cm3
data_Ba2SiAu
_cell_length_a 5.0037
_cell_length_b 26.6841
_cell_length_c 4.3029
_cell_angle_alpha 90.00
_cell_angle_beta 90.00
_cell_angle_gamma 90.00
_symmetry_space_group_name_H-M 'C m c m'
_symmetry_Int_Tables_number 63
_symmetry_space_group_name_Hall '-C 2c 2'
loop_
_atom_site_label
_atom_site_fract_x
_atom_site_fract_y
_atom_site_fract_z
Ba1 0.0000 0.0645 0.2500
Ba2 0.0000 0.3134 0.2500
Si1 0.0000 0.4741 0.2500
Au1 0.0000 0.1894 0.2500

***

Entry 4:
# K5Sc2F12 (PBE, optimized geometry)
# mass density: 2.55 g/cm3
data_K5Sc2F12
_cell_length_a 12.8455
_cell_length_b 8.1974
_cell_length_c 6.4516
_cell_angle_alpha 90.00
_cell_angle_beta 99.98
_cell_angle_gamma 90.00
_symmetry_space_group_name_H-M 'C 1 2/m 1'
_symmetry_Int_Tables_number 12
_symmetry_space_group_name_Hall '-C 2y'
loop_
_atom_site_label
_atom_site_fract_x
_atom_site_fract_y
_atom_site_fract_z
K1 0.0000 0.0000 0.0000
K2 0.1379 0.5000 0.0241
K3 0.2385 0.0000 0.4521
Sc1 0.0000 0.2783 0.5000
F1 0.0455 0.5000 0.3510
F2 0.0614 0.0000 0.6142
F3 0.0909 0.2078 0.2808
F4 0.1364 0.2988 0.7167

***

The following uncorrected formation energy values (in meV per atom) correspond, in order, to the records above: -1485, -304, -509, -3100.